KBa2AlH | PBE-GGA | optimized geometry

```
KBa2AlH
1.0
5.743 0.000 0.000
0.000 5.743 0.000
0.000 0.000 5.129
Ba K Al H
2 1 1 1
direct
0.500 0.000 0.000
0.000 0.500 0.000
0.000 0.000 0.500
0.500 0.500 0.500
0.000 0.000 0.000
```

Results
- Calculated total energy: -2.46 eV/atom